[1]
## ZrNb2Hg (PBE)

Data for a relaxed structure of ZrNb2Hg.

Structure (POSCAR):
```
ZrNb2Hg
1.0
0.6579 -4.6023 1.2247
-3.3860 -2.3319 2.4922
-2.5986 -3.4461 -2.1178
Nb Hg Zr
2 1 1
Cartesian
0.0000 0.0000 0.0000 Nb
-3.9950 -7.7852 1.1992 Nb
-1.3317 -2.5951 0.3997 Hg
-2.6633 -5.1901 0.7995 Zr
```

Summary:
Crystal system: cubic
Electronic total energy in eV per atom: -7.124
SG: F-43m (216)
Total moment in μB per formula unit: 0.00
Energy of formation from the pure elements in eV per atom: 0.1345

---

[2]
## Zr2NbHg2 (PBE)

Data for a relaxed structure of Zr2NbHg2.

Structure (POSCAR):
```
Zr2NbHg2
1.0
-2.0121 2.0121 6.8348
2.0121 -2.0121 6.8348
2.0121 2.0121 -6.8348
Hg Nb Zr
2 1 2
Cartesian
0.0000 0.0000 5.5257 Hg
0.0000 0.0000 8.1440 Hg
0.0000 0.0000 0.0000 Nb
2.0121 0.0000 3.4174 Zr
0.0000 2.0121 3.4174 Zr
```

Summary:
Crystal system: tetragonal
Electronic total energy in eV per atom: -5.088
SG: I4/mmm (139)
Total moment in μB per formula unit: 0.00
Excess energy over the best structure of this formula in the dataset in meV/atom: 0
Energy of formation from the pure elements in eV per atom: 0.4685

---

[3]
## ZrNbHg (PBE)

Data for a relaxed structure of ZrNbHg.

Structure (POSCAR):
```
ZrNbHg
1.0
0.0000 3.3324 3.3324
3.3324 0.0000 3.3324
3.3324 3.3324 0.0000
Nb Zr Hg
1 1 1
Cartesian
1.6662 1.6662 1.6662 Nb
0.0000 0.0000 0.0000 Zr
3.3324 3.3324 3.3324 Hg
```

Summary:
Crystal system: cubic
Electronic total energy in eV per atom: -5.468
SG: F-43m (216)
Total moment in μB per formula unit: 3.03
Energy of formation from the pure elements in eV per atom: 0.8451

---

[4]
## Zr2NbHg2 (PBE)

Data for a relaxed structure of Zr2NbHg2.

Structure (POSCAR):
```
Zr2NbHg2
1.0
-1.9982 1.9982 7.2029
1.9982 -1.9982 7.2029
1.9982 1.9982 -7.2029
Zr Hg Nb
2 2 1
Cartesian
0.0000 0.0000 5.8364 Zr
0.0000 0.0000 8.5695 Zr
0.0000 1.9982 3.6015 Hg
1.9982 0.0000 3.6015 Hg
0.0000 0.0000 0.0000 Nb
```

Summary:
Crystal system: tetragonal
Electronic total energy in eV per atom: -5.080
SG: I4/mmm (139)
Total moment in μB per formula unit: 0.04
Excess energy over the best structure of this formula in the dataset in meV/atom: 8
Energy of formation from the pure elements in eV per atom: 0.4762

---

[5]
## NdHg (PBE)

Data for a relaxed structure of NdHg.

Structure (POSCAR):
```
NdHg
1.0
-4.7697 -0.6589 0.7313
-2.7631 3.7054 1.5344
-3.2312 2.0411 -3.0186
Nd Hg
1 1
Cartesian
-2.6910 1.2719 -0.1882 Nd
0.0000 0.0000 0.0000 Hg
```

Summary:
Crystal system: cubic
Electronic total energy in eV per atom: -2.228
SG: F-43m (216)
Total moment in μB per formula unit: 0.36
Energy of formation from the pure elements in eV per atom: 0.3018

---

[6]
## NdHg (PBE)

Data for a relaxed structure of NdHg.

Structure (POSCAR):
```
NdHg
1.0
-0.4007 -3.9709 -2.0204
-3.8119 -1.0776 -2.0783
-0.1237 -0.2352 -4.4655
Hg Nd
1 1
Cartesian
0.0000 0.0000 0.0000 Hg
-2.1681 -2.6419 -4.2821 Nd
```

Summary:
Crystal system: cubic
Electronic total energy in eV per atom: -2.771
SG: Fm-3m (225)
Total moment in μB per formula unit: 0.02
Energy of formation from the pure elements in eV per atom: -0.2409

---

[7]
## NdHg2 (PBE)

Data for a relaxed structure of NdHg2.

Structure (POSCAR):
```
NdHg2
1.0
0.0000 3.5767 3.5767
3.5767 0.0000 3.5767
3.5767 3.5767 0.0000
Hg Nd
2 1
Cartesian
1.7883 1.7883 1.7883 Hg
5.3650 5.3650 5.3650 Hg
0.0000 0.0000 0.0000 Nd
```

Summary:
Crystal system: cubic
Electronic total energy in eV per atom: -1.955
SG: Fm-3m (225)
Total moment in μB per formula unit: 0.01
Energy of formation from the pure elements in eV per atom: -0.1690

---

[8]
## NdHg2 (PBE)

Data for a relaxed structure of NdHg2.

Structure (POSCAR):
```
NdHg2
1.0
4.9961 -0.0007 0.0000
-2.4987 4.3279 0.0000
0.0000 0.0000 3.5051
Hg Nd
2 1
Cartesian
-0.0005 2.8850 1.7483 Hg
2.4979 1.4422 1.7568 Hg
0.0000 0.0000 0.0000 Nd
```

Summary:
Crystal system: hexagonal
Electronic total energy in eV per atom: -2.220
SG: P6/mmm (191)
Total moment in μB per formula unit: 0.02
Energy of formation from the pure elements in eV per atom: -0.4336

---

[9]
## NdHg (PBE)

Data for a relaxed structure of NdHg.

Structure (POSCAR):
```
NdHg
1.0
-2.5981 1.1400 -2.5543
-1.5567 -3.4857 0.0277
-2.3239 1.0604 2.8370
Hg Nd
1 1
Cartesian
0.0000 0.0000 0.0000 Hg
-3.2393 -0.6426 0.1552 Nd
```

Summary:
Crystal system: cubic
Electronic total energy in eV per atom: -3.006
SG: Pm-3m (221)
Total moment in μB per formula unit: 0.44
Energy of formation from the pure elements in eV per atom: -0.4761

---

[10]
## NdHg2 (PBE)

Data for a relaxed structure of NdHg2.

Structure (POSCAR):
```
NdHg2
1.0
0.0000 4.2362 4.2362
4.2362 0.0000 4.2362
4.2362 4.2362 0.0000
Hg Nd
4 2
Cartesian
3.1772 5.2953 3.1772 Hg
5.2953 5.2953 5.2953 Hg
3.1772 3.1772 5.2953 Hg
5.2953 3.1772 3.1772 Hg
0.0000 0.0000 0.0000 Nd
2.1181 2.1181 2.1181 Nd
```

Summary:
Crystal system: cubic
Electronic total energy in eV per atom: -2.068
SG: Fd-3m (227)
Total moment in μB per formula unit: 0.01
Energy of formation from the pure elements in eV per atom: -0.2822

---

[11]
## NdHg (PBE)

Data for a relaxed structure of NdHg.

Structure (POSCAR):
```
NdHg
1.0
-0.2523 0.0645 3.6151
2.0427 -2.5117 -1.6296
3.9608 3.0775 0.2215
Hg Nd
1 1
Cartesian
3.4833 1.5139 2.0331 Hg
2.2679 -0.8836 0.1740 Nd
```

Summary:
Crystal system: hexagonal
Electronic total energy in eV per atom: -2.813
SG: P-6m2 (187)
Total moment in μB per formula unit: 0.03
Energy of formation from the pure elements in eV per atom: -0.2829

---

[12]
## NdNiHg (PBE)

Data for a relaxed structure of NdNiHg.

Structure (POSCAR):
```
NdNiHg
1.0
0.0000 3.4363 3.4363
3.4363 0.0000 3.4363
3.4363 3.4363 0.0000
Ni Hg Nd
1 1 1
Cartesian
5.1544 5.1544 5.1544 Ni
1.7181 1.7181 1.7181 Hg
0.0000 0.0000 0.0000 Nd
```

Summary:
Crystal system: cubic
Electronic total energy in eV per atom: -3.318
SG: F-43m (216)
Total moment in μB per formula unit: 0.00
Energy of formation from the pure elements in eV per atom: 0.2249

---

[13]
## NdNiHg (PBE)

Data for a relaxed structure of NdNiHg.

Structure (POSCAR):
```
NdNiHg
1.0
1.3730 -2.6910 3.7007
-2.7991 -3.5523 1.5389
1.3018 -4.5424 -0.7026
Hg Nd Ni
1 1 1
Cartesian
0.0000 0.0000 0.0000 Hg
-0.0311 -2.6964 1.1342 Nd
-0.0933 -8.0892 3.4027 Ni
```

Summary:
Crystal system: cubic
Electronic total energy in eV per atom: -3.430
SG: F-43m (216)
Total moment in μB per formula unit: 0.00
Energy of formation from the pure elements in eV per atom: 0.1131

---

[14]
## NdNpHg (PBE)

Data for a relaxed structure of NdNpHg.

Structure (POSCAR):
```
NdNpHg
1.0
0.7038 -2.7520 4.3160
-3.0936 0.7433 4.0712
-3.4264 -3.6287 1.3377
Np Hg Nd
1 1 1
Cartesian
-4.3621 -4.2280 7.2937 Np
0.0000 0.0000 0.0000 Hg
-1.4540 -1.4093 2.4312 Nd
```

Summary:
Crystal system: cubic
Electronic total energy in eV per atom: -5.501
SG: F-43m (216)
Total moment in μB per formula unit: 5.28
Excess energy over the best structure of this formula in the dataset in meV/atom: 0
Energy of formation from the pure elements in eV per atom: 0.4423

---

[15]
## Nd2Hg2O5 (PBE)

Data for a relaxed structure of Nd2Hg2O5.

Structure (POSCAR):
```
Nd2Hg2O5
1.0
7.2595 0.0000 0.0000
0.0000 4.3189 0.0000
0.0000 0.0000 4.3189
O Nd Hg
5 2 2
Cartesian
5.6840 0.0000 2.1595 O
5.6840 2.1595 0.0000 O
3.6297 2.1595 2.1595 O
1.5754 2.1595 0.0000 O
1.5754 0.0000 2.1595 O
0.0000 0.0000 0.0000 Nd
3.6297 0.0000 0.0000 Nd
5.8476 2.1595 2.1595 Hg
1.4118 2.1595 2.1595 Hg
```

Summary:
Crystal system: tetragonal
Electronic total energy in eV per atom: -5.204
SG: P4/mmm (123)
Total moment in μB per formula unit: 0.00
Excess energy over the best structure of this formula in the dataset in meV/atom: 243

---

[16]
## Nd2HgO4 (PBE)

Data for a relaxed structure of Nd2HgO4.

Structure (POSCAR):
```
Nd2HgO4
1.0
-2.1257 2.1257 5.9043
2.1257 -2.1257 5.9043
2.1257 2.1257 -5.9043
O Hg Nd
4 1 2
Cartesian
0.0000 2.1257 2.9522 O
2.1257 0.0000 2.9522 O
2.1257 0.0000 0.0000 O
0.0000 2.1257 0.0000 O
0.0000 0.0000 0.0000 Hg
0.0000 0.0000 4.0788 Nd
0.0000 0.0000 7.7299 Nd
```

Summary:
Crystal system: tetragonal
Electronic total energy in eV per atom: -6.523
SG: I4/mmm (139)
Total moment in μB per formula unit: 0.00
Excess energy over the best structure of this formula in the dataset in meV/atom: 53

---

[17]
## Nd2HgO4 (PBE)

Data for a relaxed structure of Nd2HgO4.

Structure (POSCAR):
```
Nd2HgO4
1.0
-2.8054 6.3743 -1.0456
6.9317 -0.9672 -0.7823
-4.4882 -2.7446 -4.6818
O Nd Hg
8 4 2
Cartesian
-0.4936 0.6850 -5.2252 O
-1.8885 2.6271 -2.6291 O
3.1768 -0.7858 -2.5846 O
-0.3291 -0.5197 -2.2802 O
-3.9193 1.3861 -4.7473 O
1.9072 2.0977 -3.0582 O
-2.3599 -1.7607 -4.3984 O
0.7760 -2.1985 -4.7516 O
-2.1242 0.4332 -3.5138 Nd
3.5857 1.3219 -1.5640 Nd
1.3416 -0.0504 -3.9049 Nd
-3.5269 3.6203 -4.0366 Nd
0.2398 3.6110 -2.3458 Hg
0.0000 0.0000 0.0000 Hg
```

Summary:
Crystal system: cubic
Electronic total energy in eV per atom: -6.576
SG: Fd-3m (227)
Total moment in μB per formula unit: 0.00
Excess energy over the best structure of this formula in the dataset in meV/atom: 0

---

[18]
## Nd2Hg2O5 (PBE)

Data for a relaxed structure of Nd2Hg2O5.

Structure (POSCAR):
```
Nd2Hg2O5
1.0
-8.8911 -2.1778 0.6111
0.4655 -2.7687 -3.0941
0.9189 -2.9676 2.7938
O Nd Hg
5 2 2
Cartesian
-7.0855 -3.3319 1.9155 O
-3.7533 -3.9571 0.1554 O
-0.8867 -1.8135 1.4894 O
-1.1134 -1.7141 -1.4546 O
-7.3122 -3.2324 -1.0285 O
-1.5365 -3.4141 0.0030 Nd
-5.9702 -4.5001 0.3077 Nd
0.0000 0.0000 0.0000 Hg
-4.4455 -1.0889 0.3055 Hg
```

Summary:
Crystal system: tetragonal
Electronic total energy in eV per atom: -5.447
SG: P4/mmm (123)
Total moment in μB per formula unit: 1.26
Excess energy over the best structure of this formula in the dataset in meV/atom: 0

---

[19]
## NdHgPO (PBE)

Data for a relaxed structure of NdHgPO.

Structure (POSCAR):
```
NdHgPO
1.0
-1.5023 1.9786 3.6048
-6.4650 -1.7640 -1.7261
0.5932 -5.2198 3.1122
Nd O P Hg
2 2 2 2
Cartesian
-5.1507 -2.5439 1.9082 Nd
-2.0056 -4.3766 4.2248 Nd
-4.9919 -3.6975 -0.0509 O
-0.6615 -5.2068 2.5822 O
-4.6892 -5.1033 3.5053 P
-2.4684 -1.8066 2.6213 P
-4.9168 -6.4761 1.5054 Hg
-0.7128 -2.6382 1.1510 Hg
```

Summary:
Crystal system: orthorhombic
Electronic total energy in eV per atom: -5.127
SG: Pmc2_1 (26)
Total moment in μB per formula unit: 0.00
Excess energy over the best structure of this formula in the dataset in meV/atom: 261

---

[20]
## NdHgPO (PBE)

Data for a relaxed structure of NdHgPO.

Structure (POSCAR):
```
NdHgPO
1.0
-0.1027 3.7249 1.9347
-2.9328 2.4020 -4.7804
-6.0329 -1.6564 2.8689
P O Hg Nd
2 2 2 2
Cartesian
-3.9498 1.2146 -2.5484 P
-5.6942 -0.6554 0.9594 P
-7.4430 2.1645 -0.0068 O
-3.0952 1.9024 0.7288 O
-8.7679 0.5992 -1.6192 Hg
-3.1857 -0.6740 1.1285 Hg
-1.8028 2.7801 -0.8925 Nd
-5.1943 2.2591 -0.0694 Nd
```

Summary:
Crystal system: orthorhombic
Electronic total energy in eV per atom: -5.051
SG: Pmc2_1 (26)
Total moment in μB per formula unit: 0.00
Excess energy over the best structure of this formula in the dataset in meV/atom: 337

---

[21]
## NdHgPO (PBE)

Data for a relaxed structure of NdHgPO.

Structure (POSCAR):
```
NdHgPO
1.0
-7.8470 -7.5607 1.3309
-4.5127 -9.9747 0.8070
-5.3782 -8.4168 4.5545
O P Nd Hg
2 2 2 2
Cartesian
-5.4348 -7.9516 2.0505 O
-12.3032 -18.0006 4.6418 O
-15.8557 -23.1982 5.9821 P
-1.8823 -2.7540 0.7102 P
-11.0275 -16.1341 4.1605 Nd
-6.7105 -9.8181 2.5318 Nd
-14.1845 -20.7532 5.3516 Hg
-3.5535 -5.1991 1.3407 Hg
```

Summary:
Crystal system: trigonal
Electronic total energy in eV per atom: -5.388
SG: R-3m (166)
Total moment in μB per formula unit: 0.00
Excess energy over the best structure of this formula in the dataset in meV/atom: 0

---

[22]
## NdHgPO (PBE)

Data for a relaxed structure of NdHgPO.

Structure (POSCAR):
```
NdHgPO
1.0
4.1680 0.0000 0.0000
0.0000 4.1680 0.0000
0.0000 0.0000 8.9626
O Nd P Hg
2 2 2 2
Cartesian
0.0000 0.0000 0.0000 O
2.0840 2.0840 0.0000 O
2.0840 0.0000 7.8297 Nd
0.0000 2.0840 1.1328 Nd
0.0000 2.0840 6.2674 P
2.0840 0.0000 2.6952 P
0.0000 0.0000 4.4813 Hg
2.0840 2.0840 4.4813 Hg
```

Summary:
Crystal system: tetragonal
Electronic total energy in eV per atom: -5.346
SG: P4/nmm (129)
Total moment in μB per formula unit: 0.00
Excess energy over the best structure of this formula in the dataset in meV/atom: 42

---

[23]
## RbNdHg3O4 (PBE)

Data for a relaxed structure of RbNdHg3O4.

Structure (POSCAR):
```
RbNdHg3O4
1.0
-4.9296 3.1517 1.4861
-1.4350 -4.1824 4.1098
3.1753 3.0027 4.1646
O Nd Hg Rb
4 1 3 1
Cartesian
-3.4963 2.2209 2.9449 O
-2.5040 1.5482 7.6630 O
-1.5036 -1.9611 4.4409 O
1.1252 2.1360 4.4722 O
0.0000 0.0000 0.0000 Nd
-0.7175 -2.0912 2.0549 Hg
-2.4648 1.5758 0.7431 Hg
1.5876 1.5014 2.0823 Hg
-1.5947 0.9860 4.8802 Rb
```

Summary:
Crystal system: cubic
Electronic total energy in eV per atom: -3.870
SG: P-43m (215)
Total moment in μB per formula unit: 0.00

---

[24]
## NdHg2SO6 (PBE)

Data for a relaxed structure of NdHg2SO6.

Structure (POSCAR):
```
NdHg2SO6
1.0
-0.7133 6.5340 -2.5671
-0.5325 0.0342 -7.3557
-7.0018 2.3108 -1.0478
O S Hg Nd
12 2 4 2
Cartesian
-2.0483 3.3863 -7.7244 O
-2.9380 5.3882 -5.1030 O
-7.6250 8.4623 -9.3772 O
-4.6133 6.5478 -7.7207 O
-6.5924 4.0997 -7.8369 O
-3.6343 2.3313 -3.2500 O
-6.1993 5.4927 -3.2463 O
-1.6552 4.7793 -3.1337 O
-0.7249 1.6092 -4.6715 O
-5.3096 3.4909 -5.8676 O
-0.6226 0.4167 -1.5935 O
-7.5227 7.2698 -6.2991 O
-1.6357 5.5156 -4.4234 S
-6.6118 3.3635 -6.5473 S
-4.9547 7.3156 -4.1903 Hg
-3.3509 4.9830 -7.6768 Hg
-4.8967 3.8960 -3.2939 Hg
-3.2929 1.5635 -6.7803 Hg
-1.4598 2.4477 -2.5828 Nd
-6.7877 6.4313 -8.3879 Nd
```

Summary:
Crystal system: triclinic
Electronic total energy in eV per atom: -5.422
SG: P-1 (2)
Total moment in μB per formula unit: 0.00

---

[25]
## NdHgTeO (PBE)

Data for a relaxed structure of NdHgTeO.

Structure (POSCAR):
```
NdHgTeO
1.0
5.2092 0.0000 0.0000
0.0000 9.2866 0.0000
0.0000 0.0000 5.8168
Te Nd O Hg
2 2 2 2
Cartesian
0.0000 6.3784 0.8856 Te
0.0000 2.9081 3.7940 Te
2.6046 8.0457 0.1463 Nd
2.6046 1.2409 3.0546 Nd
2.6046 0.7318 0.9738 O
2.6046 8.5548 3.8822 O
0.0000 2.8588 0.8504 Hg
0.0000 6.4277 3.7588 Hg
```

Summary:
Crystal system: orthorhombic
Electronic total energy in eV per atom: -4.733
SG: Pmc2_1 (26)
Total moment in μB per formula unit: 0.00
Excess energy over the best structure of this formula in the dataset in meV/atom: 182

---

[26]
## NdHgTeO (PBE)

Data for a relaxed structure of NdHgTeO.

Structure (POSCAR):
```
NdHgTeO
1.0
4.2273 0.0000 0.0000
0.0000 4.2273 0.0000
0.0000 0.0000 10.6350
Hg Te O Nd
2 2 2 2
Cartesian
3.1705 1.0568 5.3175 Hg
1.0568 3.1705 5.3175 Hg
3.1705 3.1705 2.8453 Te
1.0568 1.0568 7.7897 Te
1.0568 3.1705 0.0000 O
3.1705 1.0568 0.0000 O
1.0568 1.0568 1.0908 Nd
3.1705 3.1705 9.5442 Nd
```

Summary:
Crystal system: tetragonal
Electronic total energy in eV per atom: -4.915
SG: P4/nmm (129)
Total moment in μB per formula unit: 0.00
Excess energy over the best structure of this formula in the dataset in meV/atom: 0